i) ## TbSm4Tm5 (PBE)

Data for an optimized crystal structure of TbSm4Tm5.

Properties
total moment: 0.000 μB per formula unit
space group: No. 79

Cell lengths 7.8902, 7.8902, 7.8902 Å; angles 98.88, 98.88, 133.72 degrees
With the nearest neighbours (Å) after each atom.
Atoms (fractional coordinates):
Tb (0.0000, 0.0000, 0.0000)  1 Tm 2.89
Sm (0.1150, 0.8144, 0.3942)  4 Tm 3.22-3.50, 1 Sm 3.28
Sm (0.4202, 0.7208, 0.6058)  4 Tm 3.22-3.50, 1 Sm 3.28
Sm (0.7208, 0.1150, 0.3006)  4 Tm 3.22-3.50, 1 Sm 3.28
Sm (0.8144, 0.4202, 0.6994)  4 Tm 3.22-3.50, 1 Sm 3.28
Tm (0.0406, 0.1209, 0.6220)  4 Sm 3.22-3.50, 1 Tm 3.25, 1 Tb 3.26
Tm (0.1209, 0.4988, 0.0803)  4 Sm 3.22-3.50, 1 Tm 3.25, 1 Tb 3.26
Tm (0.4186, 0.0406, 0.9197)  4 Sm 3.22-3.50, 1 Tm 3.25, 1 Tb 3.26
Tm (0.4988, 0.4186, 0.3780)  4 Sm 3.22-3.50, 1 Tm 3.25, 1 Tb 3.26
Tm (0.5345, 0.5345, 0.0000)  1 Tb 2.89

***

ii) ## TbSm4Tm5 (PBE)

Data for an optimized crystal structure of TbSm4Tm5.

Properties
total moment: 0.000 μB per formula unit
space group: No. 12

Cell lengths 8.6880, 8.6880, 11.1127 Å; angles 90.10, 90.10, 23.28 degrees
With the nearest neighbours (Å) after each atom.
Atoms (fractional coordinates):
Tb (0.0000, 0.0000, 0.0000)  4 Sm 3.34, 4 Tm 3.49, 2 Tb 3.51
Sm (0.1560, 0.1560, 0.2498)  4 Sm 3.51-3.63, 7 Tm 3.65-3.85, 1 Tb 3.84
Sm (0.4690, 0.4690, 0.2512)  4 Tm 3.29-3.32, 2 Tb 3.34, 4 Sm 3.51-3.63
Sm (0.5310, 0.5310, 0.7488)  4 Tm 3.29-3.32, 2 Tb 3.34, 4 Sm 3.51-3.63
Sm (0.8440, 0.8440, 0.7502)  4 Sm 3.51-3.63, 7 Tm 3.65-3.85, 1 Tb 3.84
Tm (0.0000, 0.0000, 0.5000)  4 Sm 3.32, 6 Tm 3.47-3.51
Tm (0.3260, 0.3260, 0.0506)  2 Sm 3.30-3.65, 4 Tm 3.32-3.51, 2 Tb 3.49
Tm (0.3269, 0.3269, 0.4517)  2 Sm 3.29-3.67, 6 Tm 3.33-3.51
Tm (0.6731, 0.6731, 0.5483)  2 Sm 3.29-3.67, 6 Tm 3.33-3.51
Tm (0.6740, 0.6740, 0.9494)  2 Sm 3.30-3.65, 4 Tm 3.32-3.51, 2 Tb 3.49

***

How far above the most stable structure does each one sit? In meV/atom: i) 102; ii) 0.

***

i) ## Tb4Sm3Tm2 (PBE)

Data for an optimized crystal structure of Tb4Sm3Tm2.

Properties
total moment: 0.000 μB per formula unit
space group: No. 2

Cell lengths 6.1674, 6.1774, 9.4273 Å; angles 109.02, 90.03, 119.91 degrees
With the nearest neighbours (Å) after each atom.
Atoms (fractional coordinates):
Tb (0.1656, 0.3319, 0.9999)  5 Tb 3.55-3.58, 5 Sm 3.56-3.58, 2 Tm 3.57
Tb (0.2771, 0.8877, 0.3336)  4 Tm 3.55-3.57, 5 Sm 3.56-3.58, 3 Tb 3.56-3.57
Tb (0.7229, 0.1123, 0.6664)  4 Tm 3.55-3.57, 5 Sm 3.56-3.58, 3 Tb 3.56-3.57
Tb (0.8344, 0.6681, 0.0001)  5 Tb 3.55-3.58, 5 Sm 3.56-3.58, 2 Tm 3.57
Sm (0.3882, 0.4439, 0.6658)  4 Tm 3.55-3.57, 2 Sm 3.55-3.58, 6 Tb 3.56-3.58
Sm (0.5000, 0.0000, 0.0000)  8 Tb 3.56-3.58, 2 Tm 3.57, 2 Sm 3.58
Sm (0.6118, 0.5561, 0.3342)  4 Tm 3.55-3.57, 2 Sm 3.55-3.58, 6 Tb 3.56-3.58
Tm (0.0551, 0.7769, 0.6658)  5 Sm 3.55-3.57, 6 Tb 3.55-3.57, 1 Tm 3.56
Tm (0.9449, 0.2231, 0.3342)  5 Sm 3.55-3.57, 6 Tb 3.55-3.57, 1 Tm 3.56

***

ii) ## Tb4Sm3Tm2 (PBE)

Data for an optimized crystal structure of Tb4Sm3Tm2.

Properties
total moment: 0.000 μB per formula unit
space group: No. 15

Cell lengths 10.0599, 10.0599, 6.0901 Å; angles 95.34, 95.34, 70.28 degrees
With the nearest neighbours (Å) after each atom.
Atoms (fractional coordinates):
Tb (0.0918, 0.8142, 0.9857)  1 Tm 3.30, 4 Sm 3.39-3.54, 3 Tb 3.41-3.56
Tb (0.1490, 0.4267, 0.1519)  1 Tb 3.33, 4 Sm 3.39-3.50, 3 Tm 3.40-3.56
Tb (0.1858, 0.9082, 0.5143)  1 Tm 3.30, 4 Sm 3.39-3.54, 3 Tb 3.41-3.56
Tb (0.4267, 0.1490, 0.6519)  1 Tb 3.33, 4 Sm 3.39-3.50, 3 Tm 3.40-3.56
Tb (0.5733, 0.8510, 0.3481)  1 Tb 3.33, 4 Sm 3.39-3.50, 3 Tm 3.40-3.56
Tb (0.8142, 0.0918, 0.4857)  1 Tm 3.30, 4 Sm 3.39-3.54, 3 Tb 3.41-3.56
Tb (0.8510, 0.5733, 0.8481)  1 Tb 3.33, 4 Sm 3.39-3.50, 3 Tm 3.40-3.56
Tb (0.9082, 0.1858, 0.0143)  1 Tm 3.30, 4 Sm 3.39-3.54, 3 Tb 3.41-3.56
Sm (0.0683, 0.2669, 0.5783)  7 Tb 3.39-3.79, 2 Tm 3.48-3.54
Sm (0.2669, 0.0683, 0.0783)  7 Tb 3.39-3.79, 2 Tm 3.48-3.54
Sm (0.4013, 0.5987, 0.2500)  4 Tm 3.36-3.48, 4 Tb 3.49-3.50
Sm (0.5987, 0.4013, 0.7500)  4 Tm 3.36-3.48, 4 Tb 3.49-3.50
Sm (0.7331, 0.9317, 0.9217)  7 Tb 3.39-3.79, 2 Tm 3.48-3.54
Sm (0.9317, 0.7331, 0.4217)  7 Tb 3.39-3.79, 2 Tm 3.48-3.54
Tm (0.2436, 0.5203, 0.6835)  4 Tb 3.30-3.56, 4 Sm 3.36-3.54
Tm (0.4797, 0.7564, 0.8165)  4 Tb 3.30-3.56, 4 Sm 3.36-3.54
Tm (0.5203, 0.2436, 0.1835)  4 Tb 3.30-3.56, 4 Sm 3.36-3.54
Tm (0.7564, 0.4797, 0.3165)  4 Tb 3.30-3.56, 4 Sm 3.36-3.54

***

How far above the most stable structure does each one sit? In meV/atom: i) 0; ii) 83.

***

i) ## TbSm5Tm (PBE)

Data for an optimized crystal structure of TbSm5Tm.

Properties
total moment: 0.000 μB per formula unit
space group: No. 44

Cell lengths 7.0185, 7.0185, 7.0185 Å; angles 123.18, 122.62, 85.05 degrees
With the nearest neighbours (Å) after each atom.
Atoms (fractional coordinates):
Tb (0.0000, 0.0000, 0.0000)  6 Sm 3.50-3.88, 2 Tm 3.52
Sm (0.3430, 0.1179, 0.7749)  3 Sm 3.01-3.27, 1 Tm 3.23
Sm (0.3430, 0.5681, 0.2251)  3 Sm 3.01-3.27, 1 Tm 3.23
Sm (0.4329, 0.6543, 0.7786)  4 Sm 2.98-3.27
Sm (0.8757, 0.6543, 0.2214)  4 Sm 2.98-3.27
Sm (0.9002, 0.4002, 0.5000)  1 Tm 3.10, 2 Sm 3.23
Tm (0.6001, 0.1001, 0.5000)  3 Sm 3.10-3.23

***

ii) ## TbSm5Tm (PBE)

Data for an optimized crystal structure of TbSm5Tm.

Properties
total moment: 0.000 μB per formula unit
space group: No. 2

Cell lengths 6.2481, 6.2543, 6.9442 Å; angles 99.63, 99.44, 112.05 degrees
With the nearest neighbours (Å) after each atom.
Atoms (fractional coordinates):
Tb (0.0000, 0.0000, 0.0000)  6 Sm 3.28-3.49, 2 Tm 3.47
Sm (0.0948, 0.5254, 0.2710)  1 Tb 3.29, 1 Tm 3.43, 6 Sm 3.43-3.68
Sm (0.4759, 0.9051, 0.7295)  1 Tb 3.28, 6 Sm 3.43-3.67, 1 Tm 3.44
Sm (0.5000, 0.5000, 0.0000)  8 Sm 3.43-3.81, 2 Tb 3.49
Sm (0.5241, 0.0949, 0.2705)  1 Tb 3.28, 6 Sm 3.43-3.67, 1 Tm 3.44
Sm (0.9052, 0.4746, 0.7290)  1 Tb 3.29, 1 Tm 3.43, 6 Sm 3.43-3.68
Tm (0.0000, 0.0000, 0.5000)  8 Sm 3.43-3.78, 2 Tb 3.47

***

How far above the most stable structure does each one sit? In meV/atom: i) 51; ii) 0.

***

i) ## TbSmTm4 (PBE)

Data for an optimized crystal structure of TbSmTm4.

Properties
total moment: 0.000 μB per formula unit
space group: No. 123

Cell lengths 5.3691, 5.3691, 7.7284 Å; angles 90.00, 90.00, 90.00 degrees
With the nearest neighbours (Å) after each atom.
Atoms (fractional coordinates):
Tb (0.0000, 0.0000, 0.0000)  8 Tm 3.29
Sm (0.5000, 0.5000, 0.5000)  8 Tm 3.32
Tm (0.0000, 0.5000, 0.2465)  2 Tb 3.29, 2 Sm 3.32
Tm (0.0000, 0.5000, 0.7535)  2 Tb 3.29, 2 Sm 3.32
Tm (0.5000, 0.0000, 0.2465)  2 Tb 3.29, 2 Sm 3.32
Tm (0.5000, 0.0000, 0.7535)  2 Tb 3.29, 2 Sm 3.32

***

ii) ## TbSmTm4 (PBE)

Data for an optimized crystal structure of TbSmTm4.

Properties
total moment: 0.000 μB per formula unit
space group: No. 10

Cell lengths 3.5239, 4.9768, 10.5543 Å; angles 90.00, 90.27, 90.00 degrees
With the nearest neighbours (Å) after each atom.
Atoms (fractional coordinates):
Tb (0.0000, 0.0000, 0.0000)  10 Tm 3.50-3.52, 2 Tb 3.52
Sm (0.5000, 0.5000, 0.5000)  10 Tm 3.52-3.53, 2 Sm 3.52
Tm (0.0000, 0.0000, 0.3313)  1 Tb 3.50, 7 Tm 3.51-3.56, 4 Sm 3.53
Tm (0.0000, 0.0000, 0.6687)  1 Tb 3.50, 7 Tm 3.51-3.56, 4 Sm 3.53
Tm (0.4994, 0.5000, 0.1663)  7 Tm 3.51-3.52, 4 Tb 3.51-3.52, 1 Sm 3.52
Tm (0.5006, 0.5000, 0.8337)  7 Tm 3.51-3.52, 4 Tb 3.51-3.52, 1 Sm 3.52

***

iii) ## TbSmTm4 (PBE)

Data for an optimized crystal structure of TbSmTm4.

Properties
total moment: 1.476 μB per formula unit
space group: No. 216

Cell lengths 6.5367, 6.5367, 6.5367 Å; angles 60.00, 60.00, 60.00 degrees
With the nearest neighbours (Å) after each atom.
Atoms (fractional coordinates):
Tb (0.0000, 0.0000, 0.0000)  12 Tm 3.83, 4 Sm 4.00
Sm (0.2500, 0.2500, 0.2500)  12 Tm 3.83, 4 Tb 4.00
Tm (0.1238, 0.6254, 0.6254)  6 Tm 3.26-3.28
Tm (0.6254, 0.1238, 0.6254)  6 Tm 3.26-3.28
Tm (0.6254, 0.6254, 0.1238)  6 Tm 3.26-3.28
Tm (0.6254, 0.6254, 0.6254)  6 Tm 3.26-3.28

***

How far above the most stable structure does each one sit? In meV/atom: i) 730; ii) 0; iii) 264.

***

i) ## Tb3SmTm2 (PBE)

Data for an optimized crystal structure of Tb3SmTm2.

Properties
total moment: 0.000 μB per formula unit
space group: No. 2

Cell lengths 6.1366, 7.0914, 9.3784 Å; angles 112.10, 90.08, 90.04 degrees
With the nearest neighbours (Å) after each atom.
Atoms (fractional coordinates):
Tb (0.0838, 0.2067, 0.1642)  4 Tb 3.51-3.56, 6 Tm 3.51-3.55, 2 Sm 3.57
Tb (0.2500, 0.1242, 0.5000)  4 Sm 3.53-3.56, 4 Tb 3.54-3.56, 4 Tm 3.55-3.56
Tb (0.4161, 0.5424, 0.8357)  4 Tb 3.51-3.56, 6 Tm 3.52-3.55, 2 Sm 3.56-3.57
Tb (0.5839, 0.4576, 0.1643)  4 Tb 3.51-3.56, 6 Tm 3.52-3.55, 2 Sm 3.56-3.57
Tb (0.7500, 0.8758, 0.5000)  4 Sm 3.53-3.56, 4 Tb 3.54-3.56, 4 Tm 3.55-3.56
Tb (0.9162, 0.7933, 0.8358)  4 Tb 3.51-3.56, 6 Tm 3.51-3.55, 2 Sm 3.57
Sm (0.2500, 0.6259, 0.5000)  8 Tb 3.53-3.57, 2 Sm 3.55, 2 Tm 3.55-3.56
Sm (0.7500, 0.3741, 0.5000)  8 Tb 3.53-3.57, 2 Sm 3.55, 2 Tm 3.55-3.56
Tm (0.0824, 0.7084, 0.1653)  8 Tb 3.51-3.56, 3 Tm 3.53-3.54, 1 Sm 3.55
Tm (0.4176, 0.0430, 0.8348)  8 Tb 3.52-3.56, 3 Tm 3.52-3.54, 1 Sm 3.56
Tm (0.5824, 0.9570, 0.1652)  8 Tb 3.52-3.56, 3 Tm 3.52-3.54, 1 Sm 3.56
Tm (0.9176, 0.2916, 0.8347)  8 Tb 3.51-3.56, 3 Tm 3.53-3.54, 1 Sm 3.55

***

ii) ## Tb3SmTm2 (PBE)

Data for an optimized crystal structure of Tb3SmTm2.

Properties
total moment: 0.000 μB per formula unit
space group: No. 2

Cell lengths 7.1472, 7.1508, 8.8040 Å; angles 78.23, 78.30, 60.02 degrees
With the nearest neighbours (Å) after each atom.
Atoms (fractional coordinates):
Tb (0.1390, 0.1399, 0.1642)  6 Tm 3.49-3.59, 4 Tb 3.50-3.57, 2 Sm 3.53-3.55
Tb (0.2491, 0.2506, 0.5012)  3 Tm 3.52-3.53, 5 Tb 3.53-3.59, 4 Sm 3.57-3.59
Tb (0.3610, 0.8603, 0.8353)  6 Tm 3.49-3.59, 5 Tb 3.50-3.57, 1 Sm 3.55
Tb (0.6390, 0.1397, 0.1647)  6 Tm 3.49-3.59, 5 Tb 3.50-3.57, 1 Sm 3.55
Tb (0.7509, 0.7494, 0.4988)  3 Tm 3.52-3.53, 5 Tb 3.53-3.59, 4 Sm 3.57-3.59
Tb (0.8610, 0.8601, 0.8358)  6 Tm 3.49-3.59, 4 Tb 3.50-3.57, 2 Sm 3.53-3.55
Sm (0.2508, 0.7491, 0.4983)  3 Tm 3.52-3.54, 7 Tb 3.53-3.59, 2 Sm 3.56-3.59
Sm (0.7492, 0.2509, 0.5017)  3 Tm 3.52-3.54, 7 Tb 3.53-3.59, 2 Sm 3.56-3.59
Tm (0.1398, 0.6377, 0.1650)  3 Tm 3.49-3.58, 8 Tb 3.49-3.59, 1 Sm 3.52
Tm (0.3598, 0.3618, 0.8354)  7 Tb 3.49-3.59, 3 Tm 3.49-3.58, 2 Sm 3.53-3.54
Tm (0.6402, 0.6382, 0.1646)  7 Tb 3.49-3.59, 3 Tm 3.49-3.58, 2 Sm 3.53-3.54
Tm (0.8602, 0.3623, 0.8350)  3 Tm 3.49-3.58, 8 Tb 3.49-3.59, 1 Sm 3.52

***

How far above the most stable structure does each one sit? In meV/atom: i) 23; ii) 0.